# 1
LiSc2Co at its PBEsol-relaxed geometry, computed with SCAN.

## Properties
**Energy of formation from the pure elements**: -0.18 eV per atom
**Raw total energy**: -12.224 eV per atom

Cell and atoms, written as CIF:
```
data_LiSc2Co
_cell_length_a 3.0972
_cell_length_b 3.0972
_cell_length_c 7.6327
_cell_angle_alpha 90.00
_cell_angle_beta 90.00
_cell_angle_gamma 90.00
_space_group_name_H-M_alt 'P 4/m m m'
_space_group_IT_number 123
_space_group_name_Hall '-P 4 2'
loop_
_atom_site_label
_atom_site_type_symbol
_atom_site_fract_x
_atom_site_fract_y
_atom_site_fract_z
_atom_site_occupancy
Li1 Li 0.0000 0.0000 0.0000 1
Sc1 Sc 0.5000 0.5000 0.3049 1
Co1 Co 0.0000 0.0000 0.5000 1
```



# 2
Li2ScCo at its PBEsol-relaxed geometry, computed with SCAN.

## Properties
**Energy of formation from the pure elements**: 0.15 eV per atom
**Raw total energy**: -8.927 eV per atom
**ΔE to the lowest computed polymorph**: 0 meV per atom

Cell and atoms, written as CIF:
```
data_Li2ScCo
_cell_length_a 3.5321
_cell_length_b 3.5321
_cell_length_c 9.4657
_cell_angle_alpha 90.00
_cell_angle_beta 90.00
_cell_angle_gamma 90.00
_space_group_name_H-M_alt 'I 4/m m m'
_space_group_IT_number 139
_space_group_name_Hall '-I 4 2'
loop_
_atom_site_label
_atom_site_type_symbol
_atom_site_fract_x
_atom_site_fract_y
_atom_site_fract_z
_atom_site_occupancy
Li1 Li 0.0000 0.5000 0.2500 1
Sc1 Sc 0.0000 0.0000 0.0000 1
Co1 Co 0.0000 0.0000 0.5000 1
```



# 3
LiSc2Co at its PBEsol-relaxed geometry, computed with SCAN.

## Properties
**Energy of formation from the pure elements**: 0.17 eV per atom
**Raw total energy**: -11.876 eV per atom

Cell and atoms, written as CIF:
```
data_LiSc2Co
_cell_length_a 3.4379
_cell_length_b 3.4379
_cell_length_c 6.1573
_cell_angle_alpha 90.00
_cell_angle_beta 90.00
_cell_angle_gamma 90.00
_space_group_name_H-M_alt 'P 4 m m'
_space_group_IT_number 99
_space_group_name_Hall 'P 4 -2'
loop_
_atom_site_label
_atom_site_type_symbol
_atom_site_fract_x
_atom_site_fract_y
_atom_site_fract_z
_atom_site_occupancy
Li1 Li 0.0000 0.0000 0.0000 1
Sc1 Sc 0.0000 0.0000 0.5861 1
Sc2 Sc 0.5000 0.5000 0.2728 1
Co1 Co 0.5000 0.5000 0.7008 1
```



# 4
Li2ScCo at its PBEsol-relaxed geometry, computed with SCAN.

## Properties
**Energy of formation from the pure elements**: 0.26 eV per atom
**Raw total energy**: -8.819 eV per atom
**ΔE to the lowest computed polymorph**: 108 meV per atom

Cell and atoms, written as CIF:
```
data_Li2ScCo
_cell_length_a 3.5073
_cell_length_b 3.5073
_cell_length_c 20.1553
_cell_angle_alpha 90.00
_cell_angle_beta 90.00
_cell_angle_gamma 90.00
_space_group_name_H-M_alt 'I -4 2 d'
_space_group_IT_number 122
_space_group_name_Hall 'I -4 2bw'
loop_
_atom_site_label
_atom_site_type_symbol
_atom_site_fract_x
_atom_site_fract_y
_atom_site_fract_z
_atom_site_occupancy
Li1 Li 0.2172 0.7500 0.1250 1
Sc1 Sc 0.0000 0.0000 0.5000 1
Co1 Co 0.0000 0.0000 0.0000 1
```



# 5
LiCoSe2 at its PBEsol-relaxed geometry, computed with SCAN.

## Properties
**Raw total energy**: -15.386 eV per atom

Cell and atoms, written as CIF:
```
data_LiCoSe2
_cell_length_a 3.3354
_cell_length_b 4.8476
_cell_length_c 3.7855
_cell_angle_alpha 90.00
_cell_angle_beta 90.00
_cell_angle_gamma 90.00
_space_group_name_H-M_alt 'P m m 2'
_space_group_IT_number 25
_space_group_name_Hall 'P 2 -2'
loop_
_atom_site_label
_atom_site_type_symbol
_atom_site_fract_x
_atom_site_fract_y
_atom_site_fract_z
_atom_site_occupancy
Li1 Li 0.0000 0.0000 0.0000 1
Co1 Co 0.5000 0.5000 0.3511 1
Se1 Se 0.0000 0.5000 0.9110 1
Se2 Se 0.5000 0.0000 0.4912 1
```



# 6
LiCo2Se at its PBEsol-relaxed geometry, computed with SCAN.

## Properties
**Raw total energy**: -13.937 eV per atom

Cell and atoms, written as CIF:
```
data_LiCo2Se
_cell_length_a 2.9609
_cell_length_b 2.9609
_cell_length_c 5.2374
_cell_angle_alpha 90.00
_cell_angle_beta 90.00
_cell_angle_gamma 90.00
_space_group_name_H-M_alt 'P 4/m m m'
_space_group_IT_number 123
_space_group_name_Hall '-P 4 2'
loop_
_atom_site_label
_atom_site_type_symbol
_atom_site_fract_x
_atom_site_fract_y
_atom_site_fract_z
_atom_site_occupancy
Li1 Li 0.0000 0.0000 0.0000 1
Co1 Co 0.5000 0.5000 0.2523 1
Se1 Se 0.0000 0.0000 0.5000 1
```



The lowest raw total energy belongs to which entry?
LiCoSe2